No. 1
Computed, not measured: an optimized crystal structure of LaMgSi2Au at the PBE level of DFT.

Calculated values
**Crystal system**: tetragonal
**Calculated total energy**: -0.3484 Ry per atom

Lattice parameters (Å, degrees): 6.2353 6.2353 6.2353 139.68 139.68 58.34
Element x y z (fractional)
Au 0.2500 0.7500 0.5000
La 0.0000 0.0000 0.0000
Si 0.3918 0.3918 0.0000
Mg 0.7500 0.2500 0.5000
Si 0.6082 0.6082 0.0000

No. 2
Computed, not measured: an optimized crystal structure of La3Mg2Si4Au2 at the PBE level of DFT.

Calculated values
**Crystal system**: orthorhombic
**Calculated total energy**: -0.3598 Ry per atom

Lattice parameters (Å, degrees): 13.4920 13.4920 13.4920 161.51 161.34 26.39
Element x y z (fractional)
La 0.6401 0.6401 0.0000
Si 0.4545 0.9545 0.5000
Si 0.1867 0.1867 0.0000
Au 0.9089 0.9089 0.0000
Mg 0.7500 0.2500 0.5000
La 0.0000 0.5000 0.5000
La 0.3599 0.3599 0.0000
Si 0.5455 0.0455 0.5000
Au 0.0911 0.0911 0.0000
Mg 0.2500 0.7500 0.5000
Si 0.8133 0.8133 0.0000

No. 3
Computed, not measured: an optimized crystal structure of La2SmMg2Si4Au2 at the PBE level of DFT.

Calculated values
**Crystal system**: orthorhombic
**Calculated total energy**: -0.3575 Ry per atom

Lattice parameters (Å, degrees): 13.4448 13.4448 13.4448 161.65 161.37 26.27
Element x y z (fractional)
Si 0.1859 0.6859 0.5000
Si 0.5449 0.5449 0.0000
Si 0.8141 0.3141 0.5000
La 0.3602 0.8602 0.5000
Au 0.9104 0.4104 0.5000
Sm 0.0000 0.0000 0.0000
La 0.6398 0.1398 0.5000
Mg 0.7498 0.7498 0.0000
Mg 0.2502 0.2502 0.0000
Si 0.4551 0.4551 0.0000
Au 0.0896 0.5896 0.5000

No. 4
Computed, not measured: an optimized crystal structure of LaMg2SnAu at the PBE level of DFT.

Calculated values
**Crystal system**: tetragonal
**Calculated total energy**: -0.2705 Ry per atom

Lattice parameters (Å, degrees): 6.9356 6.9356 6.9356 142.08 142.08 54.71
Element x y z (fractional)
Au 0.3789 0.3789 0.0000
Mg 0.7562 0.2562 0.5000
Sn 0.6017 0.6017 0.0000
La 0.0069 0.0069 0.0000
Mg 0.2562 0.7562 0.5000